DFT (GGA-PBE) results for crystalline PmEu2Cu at its relaxed geometry.

## Properties
The total magnetization is 14.7 Bohr magnetons per cell. The formation energy comes out at 15 meV/atom. Its space group is No. 123. Its energy above the lowest structure with this stoichiometry is 0.00 kcal/mol of atoms. As for the density of states at the Fermi level: 5.0 states/eV/cell. The total DFT energy (no corrections) is -29.336 eV per cell.

CIF file:
```
data_PmEu2Cu
_chemical_formula_sum 'Pm1 Eu2 Cu1'
_cell_length_a 3.654
_cell_length_b 3.654
_cell_length_c 9.202
_cell_angle_alpha 90.00
_cell_angle_beta 90.00
_cell_angle_gamma 90.00
_symmetry_space_group_name_H-M 'P 1'
_symmetry_Int_Tables_number 1
_symmetry_space_group_name_Hall 'P 1'
loop_
_atom_site_label
_atom_site_fract_x
_atom_site_fract_y
_atom_site_fract_z
Pm1 0.000 0.000 0.000
Eu1 0.500 0.500 0.308
Eu2 0.500 0.500 0.692
Cu1 0.000 0.000 0.500
```